Entry i
Computed, not measured: a relaxed NiP2Os crystal at the PBE level of DFT.

a b c (Å): 7.2001 7.2001 7.2001
angles (deg): 23.95 23.95 23.95
Closest atoms and distances in Å follow each position.
Element x y z (fractional)
P 0.0015 0.0015 0.0015  3 Os 2.32, 3 P 2.58
P 0.2433 0.2433 0.2433  3 Ni 2.18
Ni 0.5131 0.5131 0.5131  3 P 2.18
Os 0.7420 0.7420 0.7420  3 P 2.32

Calculated values
Its symmetry is No. 160.

Entry ii
Computed, not measured: a relaxed NiP2Os crystal at the PBE level of DFT.

a b c (Å): 3.9322 3.9322 5.1786
angles (deg): 91.37 91.37 44.65
Closest atoms and distances in Å follow each position.
Element x y z (fractional)
Os 0.6833 0.6833 0.7816  5 P 2.28-2.42
P 0.2876 0.2876 0.4624  3 Ni 2.25-2.40, 2 Os 2.37
P 0.9661 0.9661 0.9802  2 Ni 2.24, 3 Os 2.28-2.42
Ni 0.5630 0.5630 0.2757  5 P 2.24-2.40

Calculated values
Its symmetry is No. 8.

Which structure wins on stability? entry ii wins.

Entry i
Computed, not measured: a relaxed NiPOs2 crystal at the PBE level of DFT.

a b c (Å): 5.4180 5.4180 5.4180
angles (deg): 150.17 136.73 53.44
Closest atoms and distances in Å follow each position.
Element x y z (fractional)
Os 0.8038 0.8038 0.0000  2 P 2.36
Os 0.1962 0.1962 0.0000  2 P 2.36
Ni 0.5000 0.0000 0.5000  4 P 2.44
P 0.0000 0.5000 0.5000  4 Os 2.36, 4 Ni 2.44

Calculated values
Its symmetry is No. 71.

Entry ii
Computed, not measured: a relaxed NiPOs2 crystal at the PBE level of DFT.

a b c (Å): 8.0163 8.0163 8.0163
angles (deg): 19.93 19.93 19.93
Closest atoms and distances in Å follow each position.
Element x y z (fractional)
Os 0.7579 0.7579 0.7579  3 P 2.43, 3 Os 2.70
Os 0.9989 0.9989 0.9989  3 Ni 2.68, 9 Os 2.70-2.77
Ni 0.2408 0.2408 0.2408  3 P 2.33
P 0.5024 0.5024 0.5024  3 Ni 2.33, 3 Os 2.43

Calculated values
Its symmetry is No. 160.

Entry iii
Computed, not measured: a relaxed NiPOs2 crystal at the PBE level of DFT.

a b c (Å): 3.6841 2.8649 5.1458
angles (deg): 76.74 90.00 90.00
Closest atoms and distances in Å follow each position.
Element x y z (fractional)
Os 0.0000 0.1426 0.2392  2 P 2.32
Os 0.0000 0.8574 0.7608  2 P 2.32
P 0.5000 0.5000 0.0000  4 Os 2.32, 2 Ni 2.57
Ni 0.5000 0.5000 0.5000  2 P 2.57, 8 Os 2.62-2.73, 2 Ni 2.86

Calculated values
Its symmetry is No. 10.

Entry iv
Computed, not measured: a relaxed NiPOs2 crystal at the PBE level of DFT.

a b c (Å): 7.9943 7.9943 7.9943
angles (deg): 20.10 20.10 20.10
Closest atoms and distances in Å follow each position.
Element x y z (fractional)
Ni 0.0000 0.0000 0.0000  6 Os 2.65, 6 Ni 2.79
Os 0.2435 0.2435 0.2435  3 P 2.42, 3 Ni 2.65
Os 0.7565 0.7565 0.7565  3 P 2.42, 3 Ni 2.65
P 0.5000 0.5000 0.5000  6 Os 2.42

Calculated values
Its symmetry is No. 166.

Which structure wins on stability? entry i wins.

Entry i
Computed, not measured: a relaxed NiPOs2 crystal at the PBE level of DFT.

a b c (Å): 2.8439 2.8439 6.3074
angles (deg): 90.00 90.00 90.00
Closest atoms and distances in Å follow each position.
Element x y z (fractional)
Ni 0.5000 0.5000 0.7060  4 P 2.31
P 0.0000 0.0000 0.5262  4 Ni 2.31, 4 Os 2.56
Os 0.5000 0.5000 0.2754  4 P 2.56, 8 Os 2.69-2.84, 1 Ni 2.72
Os 0.0000 0.0000 0.9924  8 Os 2.69-2.84, 4 Ni 2.70, 1 P 2.94

Calculated values
Its symmetry is No. 99.

Entry ii
Computed, not measured: a relaxed NiPOs2 crystal at the PBE level of DFT.

a b c (Å): 5.0383 5.0383 5.0383
angles (deg): 146.96 132.01 59.50
Closest atoms and distances in Å follow each position.
Element x y z (fractional)
Os 0.2824 0.7824 0.5000  2 P 2.40, 4 Ni 2.59
Os 0.0107 0.0107 0.0000  4 P 2.50, 2 Ni 2.66, 2 Os 2.78
Ni 0.7048 0.2048 0.5000  2 P 2.28
P 0.5020 0.5020 0.0000  2 Ni 2.28, 6 Os 2.40-2.50

Calculated values
Its symmetry is No. 44.

Which structure wins on stability? entry i wins.

Entry i
Computed, not measured: a relaxed NiPOs2 crystal at the PBE level of DFT.

a b c (Å): 4.9574 4.9574 2.7571
angles (deg): 75.15 75.15 115.25
Closest atoms and distances in Å follow each position.
Element x y z (fractional)
Os 0.0000 0.5000 0.0000  2 P 2.51, 2 Ni 2.51, 6 Os 2.65-2.76
Os 0.5000 0.0000 0.0000  2 P 2.51, 2 Ni 2.51, 6 Os 2.65-2.76
P 0.5000 0.5000 0.5000  4 Os 2.51, 4 Ni 2.65-2.76, 2 P 2.76
Ni 0.0000 0.0000 0.5000  4 Os 2.51, 4 P 2.65-2.76, 2 Ni 2.76

Calculated values
Its symmetry is No. 12.

Entry ii
Computed, not measured: a relaxed NiPOs2 crystal at the PBE level of DFT.

a b c (Å): 2.8940 2.8940 6.0963
angles (deg): 90.00 90.00 90.00
Closest atoms and distances in Å follow each position.
Element x y z (fractional)
Os 0.0000 0.0000 0.7724  4 P 2.47, 4 Ni 2.64
Os 0.0000 0.0000 0.2276  4 P 2.47, 4 Ni 2.64
P 0.5000 0.5000 0.0000  8 Os 2.47
Ni 0.5000 0.5000 0.5000  8 Os 2.64, 4 Ni 2.89

Calculated values
Its symmetry is No. 123.

Entry iii
Computed, not measured: a relaxed NiPOs2 crystal at the PBE level of DFT.

a b c (Å): 5.0355 5.0355 6.6960
angles (deg): 67.91 67.91 90.00
Closest atoms and distances in Å follow each position.
Element x y z (fractional)
Os 0.8750 0.8638 0.7500  2 P 2.25, 2 Ni 2.31
Os 0.3750 0.3862 0.7500  2 P 2.25, 2 Ni 2.31
Os 0.1362 0.6250 0.2500  2 P 2.25, 2 Ni 2.31
Os 0.6138 0.1250 0.2500  2 P 2.25, 2 Ni 2.31
Ni 0.0000 0.0000 0.0000  4 Os 2.31
Ni 0.7500 0.2500 0.5000  4 Os 2.31
P 0.2500 0.7500 0.5000  4 Os 2.25
P 0.5000 0.5000 0.0000  4 Os 2.25

Calculated values
Its symmetry is No. 122.

Which structure wins on stability? entry ii wins.

Entry i
Computed, not measured: a relaxed NiPOs2 crystal at the PBE level of DFT.

a b c (Å): 2.7352 2.7352 8.2382
angles (deg): 90.00 90.00 118.77
Closest atoms and distances in Å follow each position.
Element x y z (fractional)
Os 0.0000 0.0000 0.0070  2 Ni 2.64, 8 Os 2.72-2.79
Os 0.5000 0.5000 0.7234  2 P 2.37
P 0.0000 0.0000 0.4908  2 Ni 2.23, 2 Os 2.37
Ni 0.5000 0.5000 0.2788  2 P 2.23

Calculated values
Its symmetry is No. 35.

Entry ii
Computed, not measured: a relaxed NiPOs2 crystal at the PBE level of DFT.

a b c (Å): 4.2386 4.2386 4.2386
angles (deg): 60.00 60.00 60.00
Closest atoms and distances in Å follow each position.
Element x y z (fractional)
P 0.2500 0.2500 0.2500  4 Ni 2.60, 4 Os 2.60
Os 0.7500 0.7500 0.7500  4 Ni 2.60, 4 Os 2.60
Os 0.0000 0.0000 0.0000  4 Os 2.60, 4 P 2.60
Ni 0.5000 0.5000 0.5000  4 Os 2.60, 4 P 2.60

Calculated values
Its symmetry is No. 216.

Entry iii
Computed, not measured: a relaxed NiPOs2 crystal at the PBE level of DFT.

a b c (Å): 2.7816 3.5920 5.3218
angles (deg): 90.00 90.00 90.00
Closest atoms and distances in Å follow each position.
Element x y z (fractional)
Ni 0.5000 0.5000 0.7270  4 P 2.46, 6 Os 2.63-2.69
P 0.0000 0.0000 0.5490  1 Os 2.36, 4 Ni 2.46
Os 0.5000 0.5000 0.2322  6 Os 2.61-2.78, 2 Ni 2.63-2.69, 4 P 2.83
Os 0.0000 0.0000 0.9918  1 P 2.36, 4 Os 2.61

Calculated values
Its symmetry is No. 25.

Which structure wins on stability? entry iii wins.

Entry i
Computed, not measured: a relaxed NiPOs2 crystal at the PBE level of DFT.

a b c (Å): 2.7501 4.2803 4.5819
angles (deg): 90.00 90.00 90.00
Closest atoms and distances in Å follow each position.
Element x y z (fractional)
P 0.5000 0.5000 0.0000  4 Os 2.54, 4 Ni 2.67, 2 P 2.75
Os 0.5000 0.0000 0.5000  4 Ni 2.54, 6 Os 2.67-2.75
Os 0.0000 0.0000 0.0000  4 P 2.54, 6 Os 2.67-2.75
Ni 0.0000 0.5000 0.5000  4 Os 2.54, 4 P 2.67, 2 Ni 2.75

Calculated values
Its symmetry is No. 47.

Entry ii
Computed, not measured: a relaxed NiPOs2 crystal at the PBE level of DFT.

a b c (Å): 4.5343 4.5343 4.5256
angles (deg): 88.17 88.17 36.43
Closest atoms and distances in Å follow each position.
Element x y z (fractional)
Os 0.2849 0.2849 0.7825  1 P 2.32, 1 Os 2.57
Os 0.0076 0.0076 0.0094  2 P 2.31, 1 Os 2.57
Ni 0.7302 0.7302 0.2972  1 P 2.22
P 0.4772 0.4772 0.4109  1 Ni 2.22, 3 Os 2.31-2.32

Calculated values
Its symmetry is No. 8.

Entry iii
Computed, not measured: a relaxed NiPOs2 crystal at the PBE level of DFT.

a b c (Å): 4.6070 4.6070 4.6070
angles (deg): 132.78 132.78 69.00
Closest atoms and distances in Å follow each position.
Element x y z (fractional)
Os 0.0000 0.0000 0.0000  4 P 2.61, 4 Ni 2.65, 4 Os 2.65
Os 0.2500 0.7500 0.5000  4 Ni 2.61, 4 P 2.65, 4 Os 2.65
P 0.5000 0.5000 0.0000  8 Os 2.61-2.65, 4 Ni 2.65
Ni 0.7500 0.2500 0.5000  8 Os 2.61-2.65, 4 P 2.65

Calculated values
Its symmetry is No. 119.

Entry iv
Computed, not measured: a relaxed NiPOs2 crystal at the PBE level of DFT.

a b c (Å): 2.7867 2.7867 8.0852
angles (deg): 90.00 90.00 119.43
Closest atoms and distances in Å follow each position.
Element x y z (fractional)
Os 0.0000 0.0000 0.7296  2 P 2.33, 2 Ni 2.60
Os 0.0000 0.0000 0.2705  2 P 2.33, 2 Ni 2.60
Ni 0.5000 0.5000 0.0000  4 Os 2.60, 6 Ni 2.79-2.81
P 0.5000 0.5000 0.5000  4 Os 2.33

Calculated values
Its symmetry is No. 65.

Which structure wins on stability? entry ii wins.

Entry i
Computed, not measured: a relaxed NiPOsS2 crystal at the PBE level of DFT.

a b c (Å): 4.6912 4.6912 4.4726
angles (deg): 90.00 90.00 90.00
Closest atoms and distances in Å follow each position.
Element x y z (fractional)
Ni 0.5000 0.5000 0.5000  8 S 3.24, 4 P 3.32
S 0.5000 0.0000 0.0000  2 Os 2.35
S 0.0000 0.5000 0.0000  2 Os 2.35
P 0.0000 0.0000 0.5000  2 Os 2.24
Os 0.0000 0.0000 0.0000  2 P 2.24, 4 S 2.35

Calculated values
Its symmetry is No. 123.

Entry ii
Computed, not measured: a relaxed NiPOsS2 crystal at the PBE level of DFT.

a b c (Å): 4.3157 4.3157 4.2279
angles (deg): 90.00 90.00 90.00
Closest atoms and distances in Å follow each position.
Element x y z (fractional)
P 0.0000 0.0000 0.5000  2 Ni 2.11
S 0.0000 0.5000 0.0000  2 Ni 2.16
S 0.5000 0.0000 0.0000  2 Ni 2.16
Os 0.5000 0.5000 0.5000  8 S 3.02, 4 P 3.05
Ni 0.0000 0.0000 0.0000  2 P 2.11, 4 S 2.16

Calculated values
Its symmetry is No. 123.

Which structure wins on stability? entry i wins.

Entry i
Computed, not measured: a relaxed PaNi2Os crystal at the PBE level of DFT.

a b c (Å): 4.7231 4.2430 4.2430
angles (deg): 60.00 90.00 90.00
Closest atoms and distances in Å follow each position.
Element x y z (fractional)
Os 0.5000 0.6667 0.6667  6 Ni 2.45
Pa 0.0000 0.0000 0.0000  2 Ni 2.36
Ni 0.5000 0.3333 0.3333  3 Os 2.45, 3 Ni 2.45
Ni 0.5000 0.0000 0.0000  2 Pa 2.36, 3 Ni 2.45, 3 Os 2.45

Calculated values
Its symmetry is No. 187.

Entry ii
Computed, not measured: a relaxed PaNi2Os crystal at the PBE level of DFT.

a b c (Å): 3.9739 3.9258 3.9258
angles (deg): 90.00 90.00 90.00
Closest atoms and distances in Å follow each position.
Element x y z (fractional)
Ni 0.0000 0.5000 0.0000  4 Ni 2.78, 4 Os 2.79, 4 Pa 2.79
Ni 0.0000 0.0000 0.5000  4 Ni 2.78, 4 Pa 2.79, 4 Os 2.79
Pa 0.5000 0.0000 0.0000  4 Os 2.78, 8 Ni 2.79
Os 0.5000 0.5000 0.5000  4 Pa 2.78, 8 Ni 2.79

Calculated values
Its symmetry is No. 123.

Which structure wins on stability? entry ii wins.

Entry i
Computed, not measured: a relaxed PaNiOs2 crystal at the PBE level of DFT.

a b c (Å): 4.4816 4.4816 5.1195
angles (deg): 64.04 64.04 60.00
Closest atoms and distances in Å follow each position.
Element x y z (fractional)
Os 0.8136 0.8136 0.5592  1 Pa 2.47, 3 Ni 2.60, 3 Os 2.64
Os 0.1864 0.1864 0.4408  1 Pa 2.47, 3 Ni 2.60, 3 Os 2.64
Ni 0.5000 0.5000 0.5000  6 Os 2.60
Pa 0.0000 0.0000 0.0000  2 Os 2.47

Calculated values
Its symmetry is No. 166.

Entry ii
Computed, not measured: a relaxed PaNiOs2 crystal at the PBE level of DFT.

a b c (Å): 3.9770 4.0385 4.0385
angles (deg): 90.00 90.00 90.00
Closest atoms and distances in Å follow each position.
Element x y z (fractional)
Os 0.0000 0.0000 0.5000  4 Pa 2.83, 4 Ni 2.83, 4 Os 2.86
Os 0.0000 0.5000 0.0000  4 Pa 2.83, 4 Ni 2.83, 4 Os 2.86
Ni 0.5000 0.0000 0.0000  8 Os 2.83, 4 Pa 2.86
Pa 0.5000 0.5000 0.5000  8 Os 2.83, 4 Ni 2.86

Calculated values
Its symmetry is No. 123.

Which structure wins on stability? entry ii wins.

Entry i
Computed, not measured: a relaxed NiOsPb2 crystal at the PBE level of DFT.

a b c (Å): 6.0931 6.0931 7.3683
angles (deg): 65.58 65.58 90.00
Closest atoms and distances in Å follow each position.
Element x y z (fractional)
Pb 0.6164 0.1250 0.2500  2 Ni 2.59, 2 Os 2.65
Pb 0.3750 0.3836 0.7500  2 Ni 2.59, 2 Os 2.65
Pb 0.1336 0.6250 0.2500  2 Ni 2.59, 2 Os 2.65
Pb 0.8750 0.8664 0.7500  2 Ni 2.59, 2 Os 2.65
Ni 0.5000 0.5000 0.0000  4 Pb 2.59
Ni 0.2500 0.7500 0.5000  4 Pb 2.59
Os 0.0000 0.0000 0.0000  4 Pb 2.65
Os 0.7500 0.2500 0.5000  4 Pb 2.65

Calculated values
Its symmetry is No. 122.

Entry ii
Computed, not measured: a relaxed NiOsPb2 crystal at the PBE level of DFT.

a b c (Å): 3.1630 3.1630 8.6358
angles (deg): 90.00 90.00 90.00
Closest atoms and distances in Å follow each position.
Element x y z (fractional)
Ni 0.0000 0.0000 0.5508  4 Os 2.53
Pb 0.0000 0.0000 0.9256  4 Os 3.04, 4 Pb 3.16, 1 Ni 3.24
Pb 0.5000 0.5000 0.3359  4 Ni 2.91, 1 Os 3.04, 4 Pb 3.16
Os 0.5000 0.5000 0.6877  4 Ni 2.53

Calculated values
Its symmetry is No. 99.

Which structure wins on stability? entry ii wins.

Entry i
Computed, not measured: a relaxed NiOsPb2 crystal at the PBE level of DFT.

a b c (Å): 3.3613 3.3657 7.7420
angles (deg): 59.87 90.00 90.00
Closest atoms and distances in Å follow each position.
Element x y z (fractional)
Ni 0.5000 0.2500 0.2500  8 Pb 2.77-3.02
Pb 0.0000 0.9701 0.0040  4 Ni 2.77-3.02, 4 Os 2.90-2.95
Pb 0.0000 0.5299 0.4960  4 Ni 2.77-3.02, 4 Os 2.90-2.95
Os 0.5000 0.7500 0.7500  8 Pb 2.90-2.95

Calculated values
Its symmetry is No. 10.

Entry ii
Computed, not measured: a relaxed NiOsPb2 crystal at the PBE level of DFT.

a b c (Å): 5.5904 5.5904 5.5904
angles (deg): 138.34 138.34 60.38
Closest atoms and distances in Å follow each position.
Element x y z (fractional)
Pb 0.2500 0.7500 0.5000  4 Os 2.81, 4 Pb 3.13, 4 Ni 3.13
Pb 0.0000 0.0000 0.0000  4 Ni 2.81, 4 Pb 3.13, 4 Os 3.13
Os 0.7500 0.2500 0.5000  8 Pb 2.81-3.13, 4 Ni 3.13
Ni 0.5000 0.5000 0.0000  8 Pb 2.81-3.13, 4 Os 3.13

Calculated values
Its symmetry is No. 119.

Which structure wins on stability? entry i wins.

Entry i
Computed, not measured: a relaxed NiOsPb3 crystal at the PBE level of DFT.

a b c (Å): 5.2645 5.2645 5.2645
angles (deg): 90.00 90.00 90.00
Closest atoms and distances in Å follow each position.
Element x y z (fractional)
Pb 0.0000 0.5000 0.0000  2 Os 2.63
Pb 0.0000 0.0000 0.5000  2 Os 2.63
Pb 0.5000 0.0000 0.0000  2 Os 2.63
Ni 0.5000 0.5000 0.5000  12 Pb 3.72
Os 0.0000 0.0000 0.0000  6 Pb 2.63

Calculated values
Its symmetry is No. 221.

Entry ii
Computed, not measured: a relaxed NiOsPb3 crystal at the PBE level of DFT.

a b c (Å): 5.0232 5.0232 5.0232
angles (deg): 90.00 90.00 90.00
Closest atoms and distances in Å follow each position.
Element x y z (fractional)
Pb 0.0000 0.0000 0.5000  2 Ni 2.51
Pb 0.0000 0.5000 0.0000  2 Ni 2.51
Pb 0.5000 0.0000 0.0000  2 Ni 2.51
Ni 0.0000 0.0000 0.0000  6 Pb 2.51
Os 0.5000 0.5000 0.5000  12 Pb 3.55

Calculated values
Its symmetry is No. 221.

Which structure wins on stability? entry i wins.